TlCoO3: optimized geometry, PBE with a Hubbard U.

POSCAR file:
```
TlCoO3
1.0
5.2935 0.0000 0.0000
0.0000 5.4555 0.0000
0.0000 0.0000 7.5849
O Co Tl
12 4 4
Direct
0.6082 0.0338 0.7500 O
0.7908 0.7925 0.0572 O
0.7092 0.2925 0.4428 O
0.8918 0.5338 0.7500 O
0.7908 0.7925 0.4428 O
0.3918 0.9662 0.2500 O
0.2092 0.2075 0.5572 O
0.2092 0.2075 0.9428 O
0.2908 0.7075 0.9428 O
0.7092 0.2925 0.0572 O
0.1082 0.4662 0.2500 O
0.2908 0.7075 0.5572 O
0.0000 0.5000 0.5000 Co
0.0000 0.5000 0.0000 Co
0.5000 0.0000 0.0000 Co
0.5000 0.0000 0.5000 Co
0.4821 0.4483 0.7500 Tl
0.5179 0.5517 0.2500 Tl
0.0179 0.9483 0.7500 Tl
0.9821 0.0517 0.2500 Tl
```

Crystal system = orthorhombic
Total DFT energy (no corrections) = -5.18 eV/atom